First-principles (PBE+U) data for an optimized crystal structure of CoPtN2O, as listed in Alexandria.

It has space group P4/mmm (No. 123), with a = 3.837 Å, b = 3.837 Å, c = 4.178 Å, α = 90.00°, β = 90.00° and γ = 90.00°. Symmetry generates all atoms from Co at (0.000, 0.000, 0.000), Pt at (0.500, 0.500, 0.500), N at (0.000, 0.500, 0.500) and O at (0.500, 0.500, 0.000).

The value obtained for the density of states at the Fermi level is 4.4 states/eV/f.u. For the total energy, the calculation gives -5.172 eV per atom. As for the magnetic moment: 2.68 μB/f.u.